Entry from Alexandria: a relaxed PRh crystal (PBE).

Lattice parameters (Å, degrees): 6.4349 6.4349 6.4349 90.00 90.00 90.00
Space group Pm-3n (No. 223)
Inequivalent atoms, fractional coordinates:
P1 0.0000 0.2500 0.5000 [6 per cell]
Rh1 0.0000 0.5000 0.2500 [6 per cell]

Values from the calculation:
E_tot ... -79.545 eV per cell
Crystal system ... cubic
Magnetization ... 0.00 μB per formula unit

Entry from Alexandria: a relaxed CaSm7Ho2 crystal (PBE).

Lattice parameters (Å, degrees): 6.2663 6.2796 9.6050 71.02 71.02 80.39
Space group P-1 (No. 2)
Inequivalent atoms, fractional coordinates:
Ca1 0.0000 0.0000 0.0000 [1 per cell]
Sm1 0.2028 0.0009 0.5944 [2 per cell]
Sm2 0.3104 0.4992 0.8968 [2 per cell]
Sm3 0.3948 0.0003 0.2055 [2 per cell]
Sm4 0.5000 0.5000 0.5000 [1 per cell]
Ho1 0.1001 0.4929 0.3038 [2 per cell]

Values from the calculation:
E_tot ... -43.760 eV per cell
Crystal system ... triclinic
Magnetization ... 0.00 μB per formula unit

Entry from Alexandria: a relaxed NiRhC crystal (PBE).

Lattice parameters (Å, degrees): 3.8799 3.8278 4.4386 90.00 90.00 90.00
Space group Amm2 (No. 38)
Inequivalent atoms, fractional coordinates:
Ni1 0.0000 0.0000 0.0000 [2 per cell]
Rh1 0.5000 0.0000 0.4844 [2 per cell]
C1 0.0000 0.0000 0.5788 [2 per cell]

Values from the calculation:
Crystal system ... orthorhombic
Magnetization ... 0.00 μB per formula unit
Excess energy over the best structure of this formula in the dataset ... 81.7 meV/atom

Entry from Alexandria: a relaxed PmSiAg2 crystal (PBE).

Lattice parameters (Å, degrees): 6.9092 6.9092 6.9092 90.00 90.00 90.00
Space group Fm-3m (No. 225)
Inequivalent atoms, fractional coordinates:
Pm1 0.0000 0.0000 0.0000 [4 per cell]
Si1 0.0000 0.0000 0.5000 [4 per cell]
Ag1 0.2500 0.2500 0.2500 [8 per cell]

Values from the calculation:
Crystal system ... cubic
Magnetization ... 0.00 μB per formula unit
Formation energy from raw total energies ... -142 meV/atom
Excess energy over the best structure of this formula in the dataset ... 0.0 meV/atom

Entry from Alexandria: a relaxed Pm3Cu crystal (PBE).

Lattice parameters (Å, degrees): 3.7387 12.3191 9.8995 90.00 90.00 90.00
Space group Cmcm (No. 63)
Inequivalent atoms, fractional coordinates:
Pm1 0.0000 0.0689 0.2500 [4 per cell]
Pm2 0.0000 0.3643 0.0570 [8 per cell]
Cu1 0.0000 0.2392 0.7500 [4 per cell]

Values from the calculation:
Crystal system ... orthorhombic
Magnetization ... 0.00 μB per formula unit
Excess energy over the best structure of this formula in the dataset ... 0.0 meV/atom

Entry from Alexandria: a relaxed LuHfAgAu crystal (PBE).

Lattice parameters (Å, degrees): 6.9440 6.9440 6.9440 90.00 90.00 90.00
Space group F-43m (No. 216)
Inequivalent atoms, fractional coordinates:
Lu1 0.0000 0.0000 0.0000 [4 per cell]
Hf1 0.0000 0.0000 0.5000 [4 per cell]
Ag1 0.2500 0.2500 0.2500 [4 per cell]
Au1 0.2500 0.2500 0.7500 [4 per cell]

Values from the calculation:
E_tot ... -87.878 eV per cell
Crystal system ... cubic
Magnetization ... 0.00 μB per formula unit

Entry from Alexandria: a relaxed TbTmCd4 crystal (PBE).

Lattice parameters (Å, degrees): 4.8733 4.5953 12.9501 90.00 90.00 90.00
Space group Amm2 (No. 38)
Inequivalent atoms, fractional coordinates:
Tb1 0.0000 0.0000 0.0000 [2 per cell]
Tm1 0.5000 0.0000 0.1859 [2 per cell]
Cd1 0.0000 0.0000 0.3331 [2 per cell]
Cd2 0.0000 0.0000 0.6807 [2 per cell]
Cd3 0.5000 0.0000 0.5065 [2 per cell]
Cd4 0.5000 0.0000 0.8496 [2 per cell]

Values from the calculation:
Crystal system ... orthorhombic
Magnetization ... 0.00 μB per formula unit
Excess energy over the best structure of this formula in the dataset ... 0.0 meV/atom

Entry from Alexandria: a relaxed BaZn2Si2O7 crystal (PBE).

Lattice parameters (Å, degrees): 13.0957 7.9978 6.6987 90.00 90.00 90.00
Space group Cmcm (No. 63)
Inequivalent atoms, fractional coordinates:
Ba1 0.0000 0.2290 0.2500 [4 per cell]
Zn1 0.2242 0.5000 0.0000 [8 per cell]
Si1 0.1186 0.2054 0.7500 [8 per cell]
O1 0.0000 0.1196 0.7500 [4 per cell]
O2 0.1307 0.3107 0.5444 [16 per cell]
O3 0.1930 0.0369 0.7500 [8 per cell]

Values from the calculation:
Crystal system ... orthorhombic
Magnetization ... 0.00 μB per formula unit
Formation energy from raw total energies ... -2446 meV/atom

Entry from Alexandria: a relaxed Th2SnPd crystal (PBE).

Lattice parameters (Å, degrees): 3.4537 3.4537 8.6890 90.00 90.00 90.00
Space group P4/mmm (No. 123)
Inequivalent atoms, fractional coordinates:
Th1 0.0000 0.0000 0.2272 [2 per cell]
Sn1 0.5000 0.5000 0.5000 [1 per cell]
Pd1 0.5000 0.5000 0.0000 [1 per cell]

Values from the calculation:
E_tot ... -26.336 eV per cell
Crystal system ... tetragonal
Magnetization ... 0.00 μB per formula unit

Entry from Alexandria: a relaxed PaPdPtPb crystal (PBE).

Lattice parameters (Å, degrees): 6.9556 6.9556 6.9556 90.00 90.00 90.00
Space group F-43m (No. 216)
Inequivalent atoms, fractional coordinates:
Pa1 0.0000 0.0000 0.0000 [4 per cell]
Pd1 0.2500 0.2500 0.2500 [4 per cell]
Pt1 0.2500 0.2500 0.7500 [4 per cell]
Pb1 0.0000 0.0000 0.5000 [4 per cell]

Values from the calculation:
E_tot ... -106.362 eV per cell
Crystal system ... cubic
Magnetization ... 0.00 μB per formula unit

Entry from Alexandria: a relaxed ZrReIr2 crystal (PBE).

Lattice parameters (Å, degrees): 5.6987 7.8422 2.8579 90.00 90.00 90.00
Space group Cmmm (No. 65)
Inequivalent atoms, fractional coordinates:
Zr1 0.0000 0.0000 0.0000 [2 per cell]
Re1 0.0000 0.5000 0.0000 [2 per cell]
Ir1 0.2500 0.2500 0.5000 [4 per cell]

Values from the calculation:
Crystal system ... orthorhombic
Magnetization ... 0.00 μB per formula unit
Excess energy over the best structure of this formula in the dataset ... 13.6 meV/atom

Entry from Alexandria: a relaxed Cu2AgBr3 crystal (PBE).

Lattice parameters (Å, degrees): 7.6523 4.0056 10.6111 90.00 104.53 90.00
Space group P2_1/m (No. 11)
Inequivalent atoms, fractional coordinates:
Cu1 0.0245 0.2500 0.4245 [2 per cell]
Cu2 0.3900 0.7500 0.8817 [2 per cell]
Ag1 0.2286 0.2500 0.6940 [2 per cell]
Br1 0.0583 0.7500 0.8187 [2 per cell]
Br2 0.2481 0.7500 0.4820 [2 per cell]
Br3 0.4266 0.7500 0.1419 [2 per cell]

Values from the calculation:
Crystal system ... monoclinic
Magnetization ... 0.00 μB per formula unit
Formation energy from raw total energies ... -254 meV/atom
Excess energy over the best structure of this formula in the dataset ... 0.0 meV/atom

Entry from Alexandria: a relaxed Dy4InPb crystal (PBE).

Lattice parameters (Å, degrees): 8.9890 5.1893 8.9601 90.00 109.63 90.00
Space group C2/m (No. 12)
Inequivalent atoms, fractional coordinates:
Dy1 0.1229 0.0000 0.3693 [4 per cell]
Dy2 0.1273 0.5000 0.8821 [4 per cell]
In1 0.0000 0.0000 0.0000 [2 per cell]
Pb1 0.0000 0.5000 0.5000 [2 per cell]

Values from the calculation:
E_tot ... -51.558 eV per cell
Crystal system ... monoclinic
Magnetization ... 0.00 μB per formula unit

Entry from Alexandria: a relaxed Mg6NbSiO8 crystal (PBE).

Lattice parameters (Å, degrees): 4.3468 4.3468 8.8207 90.00 90.00 90.00
Space group P4/mmm (No. 123)
Inequivalent atoms, fractional coordinates:
Mg1 0.0000 0.0000 0.0000 [1 per cell]
Mg2 0.0000 0.0000 0.5000 [1 per cell]
Mg3 0.0000 0.5000 0.2477 [4 per cell]
Nb1 0.5000 0.5000 0.5000 [1 per cell]
Si1 0.5000 0.5000 0.0000 [1 per cell]
O1 0.0000 0.0000 0.2504 [2 per cell]
O2 0.0000 0.5000 0.0000 [2 per cell]
O3 0.0000 0.5000 0.5000 [2 per cell]
O4 0.5000 0.5000 0.2412 [2 per cell]

Values from the calculation:
Crystal system ... tetragonal
Magnetization ... 0.18 μB per formula unit
Formation energy from raw total energies ... -2084 meV/atom
Excess energy over the best structure of this formula in the dataset ... 27.5 meV/atom

Entry from Alexandria: a relaxed TiNbCrNi crystal (PBE).

Lattice parameters (Å, degrees): 6.1117 6.1117 6.1117 90.00 90.00 90.00
Space group F-43m (No. 216)
Inequivalent atoms, fractional coordinates:
Ti1 0.0000 0.0000 0.0000 [4 per cell]
Nb1 0.0000 0.0000 0.5000 [4 per cell]
Cr1 0.2500 0.2500 0.7500 [4 per cell]
Ni1 0.2500 0.2500 0.2500 [4 per cell]

Values from the calculation:
E_tot ... -134.986 eV per cell
Crystal system ... cubic
Magnetization ... 0.00 μB per formula unit

Entry from Alexandria: a relaxed Zr2CrPb crystal (PBE).

Lattice parameters (Å, degrees): 3.3857 3.3857 7.3889 90.00 90.00 90.00
Space group P4mm (No. 99)
Inequivalent atoms, fractional coordinates:
Zr1 0.0000 0.0000 0.0000 [1 per cell]
Zr2 0.5000 0.5000 0.2806 [1 per cell]
Cr1 0.0000 0.0000 0.4886 [1 per cell]
Pb1 0.5000 0.5000 0.7144 [1 per cell]

Values from the calculation:
E_tot ... -29.683 eV per cell
Crystal system ... tetragonal
Magnetization ... 2.12 μB per formula unit

Entry from Alexandria: a relaxed CeNdSmMg crystal (PBE).

Lattice parameters (Å, degrees): 7.8963 7.8963 7.8963 90.00 90.00 90.00
Space group F-43m (No. 216)
Inequivalent atoms, fractional coordinates:
Ce1 0.0000 0.0000 0.0000 [4 per cell]
Nd1 0.2500 0.2500 0.7500 [4 per cell]
Sm1 0.2500 0.2500 0.2500 [4 per cell]
Mg1 0.0000 0.0000 0.5000 [4 per cell]

Values from the calculation:
E_tot ... -65.879 eV per cell
Crystal system ... cubic
Magnetization ... 1.15 μB per formula unit

Entry from Alexandria: a relaxed AcZr3 crystal (PBE).

Lattice parameters (Å, degrees): 4.7778 4.7778 9.3492 90.00 90.00 90.00
Space group I4/mmm (No. 139)
Inequivalent atoms, fractional coordinates:
Ac1 0.0000 0.0000 0.0000 [2 per cell]
Zr1 0.0000 0.0000 0.5000 [2 per cell]
Zr2 0.0000 0.5000 0.2500 [4 per cell]

Values from the calculation:
Crystal system ... tetragonal
Magnetization ... 0.00 μB per formula unit
Excess energy over the best structure of this formula in the dataset ... 15.0 meV/atom

Entry from Alexandria: a relaxed Mg6CdSi crystal (PBE).

Lattice parameters (Å, degrees): 4.9881 6.1112 11.1422 90.00 90.00 90.00
Space group Amm2 (No. 38)
Inequivalent atoms, fractional coordinates:
Mg1 0.0000 0.0000 0.0000 [2 per cell]
Mg2 0.0000 0.2423 0.7412 [4 per cell]
Mg3 0.5000 0.0000 0.1668 [2 per cell]
Mg4 0.5000 0.2487 0.4193 [4 per cell]
Cd1 0.0000 0.0000 0.4838 [2 per cell]
Si1 0.5000 0.0000 0.6941 [2 per cell]

Values from the calculation:
Crystal system ... orthorhombic
Magnetization ... 0.00 μB per formula unit
Formation energy from raw total energies ... 29 meV/atom
Excess energy over the best structure of this formula in the dataset ... 9.1 meV/atom

Entry from Alexandria: a relaxed CeY6In5 crystal (PBE).

Lattice parameters (Å, degrees): 10.4094 11.3134 6.1478 90.00 104.18 90.00
Space group C2/m (No. 12)
Inequivalent atoms, fractional coordinates:
Ce1 0.0000 0.0000 0.0000 [2 per cell]
Y1 0.2240 0.5000 0.2277 [4 per cell]
Y2 0.2277 0.3235 0.7364 [8 per cell]
In1 0.0000 0.1382 0.5000 [4 per cell]
In2 0.0000 0.3024 0.0000 [4 per cell]
In3 0.0000 0.5000 0.5000 [2 per cell]

Values from the calculation:
E_tot ... -123.113 eV per cell
Crystal system ... monoclinic
Magnetization ... 2.87 μB per formula unit